[1]
Below is crystalline CeAlO3 at its relaxed geometry, with properties calculated at the GGA-PBEsol level.

Geometry as POSCAR:
```
CeAlO3
1.0
-1.569 1.049 3.232
-3.224 -1.585 -1.051
1.074 -3.224 1.568
O Ce Al
3 1 1
Direct
0.000 0.000 0.500
0.500 0.000 0.000
0.000 0.500 0.000
0.500 0.500 0.500
0.000 0.000 0.000
```

## Properties
The formation energy (no corrections) comes out at -3222 meV per atom. The total energy is -8.509 eV per atom.

[2]
Below is crystalline CeAlO3 at its relaxed geometry, with properties calculated at the GGA-PBEsol level.

Geometry as POSCAR:
```
CeAlO3
1.0
-0.744 -4.024 -3.358
2.813 -0.231 -4.478
3.759 -3.687 -0.546
O Ce Al
6 2 2
Direct
0.750 0.208 0.292
0.250 0.792 0.708
0.292 0.750 0.208
0.792 0.708 0.250
0.708 0.250 0.792
0.208 0.292 0.750
0.250 0.250 0.250
0.750 0.750 0.750
0.500 0.500 0.500
0.000 0.000 0.000
```

## Properties
The formation energy (no corrections) comes out at -3232 meV per atom. The total energy is -8.519 eV per atom.

[3]
Below is crystalline CeAlO3 at its relaxed geometry, with properties calculated at the GGA-PBEsol level.

Geometry as POSCAR:
```
CeAlO3
1.0
-0.645 4.173 3.205
-2.726 -3.052 3.425
6.355 -1.722 3.523
Al O Ce
4 12 4
Direct
0.500 0.000 0.000
0.000 0.500 0.500
0.500 0.000 0.500
0.000 0.500 0.000
0.750 0.250 0.527
0.000 0.449 0.250
0.250 0.750 0.027
0.500 0.051 0.250
0.250 0.250 0.527
0.500 0.949 0.750
0.750 0.750 0.027
0.750 0.750 0.473
0.250 0.750 0.473
0.750 0.250 0.973
0.000 0.551 0.750
0.250 0.250 0.973
0.500 0.501 0.250
0.000 0.999 0.250
0.500 0.499 0.750
0.000 0.001 0.750
```

## Properties
The formation energy (no corrections) comes out at -3232 meV per atom. The total energy is -8.519 eV per atom.

[4]
Below is crystalline Ce3AlO at its relaxed geometry, with properties calculated at the GGA-PBEsol level.

Geometry as POSCAR:
```
Ce3AlO
1.0
-4.704 0.116 -0.615
0.214 -4.083 -2.408
-0.588 -2.414 4.042
O Al Ce
1 1 3
Direct
0.500 0.500 0.500
0.000 0.000 0.000
0.000 0.500 0.500
0.500 0.500 0.000
0.500 0.000 0.500
```

## Properties
The formation energy (no corrections) comes out at -1237 meV per atom. The total energy is -7.063 eV per atom.